No. 1
! In2Bi2Pt | the Alexandria database | GGA-PBE | relaxed; values from VASP
&SYSTEM
  ibrav = 0, nat = 10, ntyp = 3
/
ATOMIC_SPECIES
In 114.82 In.upf
Bi 208.98 Bi.upf
Pt 195.08 Pt.upf
ATOMIC_POSITIONS crystal
In 0.1514 0.3486 0.0000
In 0.3486 0.8486 0.0000
In 0.6514 0.1514 0.0000
In 0.8486 0.6514 0.0000
Bi 0.1621 0.6621 0.5000
Bi 0.3379 0.1621 0.5000
Bi 0.6621 0.8379 0.5000
Bi 0.8379 0.3379 0.5000
Pt 0.0000 0.0000 0.0000
Pt 0.5000 0.5000 0.0000
CELL_PARAMETERS angstrom
7.1232 0.0000 0.0000
0.0000 7.1232 0.0000
0.0000 0.0000 5.2444
! Symmetry = P4/mbm
! Energy relative to the elements = 0.06 eV per atom
! Energy above the most stable polymorph in this dataset = 15 meV/atom

No. 2
! TlSbPO2 | the Alexandria database | GGA-PBE | relaxed; values from VASP
&SYSTEM
  ibrav = 0, nat = 5, ntyp = 4
/
ATOMIC_SPECIES
Tl 204.38 Tl.upf
Sb 121.76 Sb.upf
P 30.97 P.upf
O 16.00 O.upf
ATOMIC_POSITIONS crystal
Tl 0.0000 0.0000 0.0000
Sb 0.5000 0.5000 0.5000
P 0.5000 0.5000 0.0000
O 0.0000 0.5000 0.5000
O 0.5000 0.0000 0.5000
CELL_PARAMETERS angstrom
4.0322 0.0000 0.0000
0.0000 4.0322 0.0000
0.0000 0.0000 5.3356
! Symmetry = P4/mmm
! Formation energy without anion corrections = -0.48 eV per atom
! Energy above the most stable polymorph in this dataset = 0 meV/atom

No. 3
! Ni2AsBr | the Alexandria database | GGA-PBE | relaxed; values from VASP
&SYSTEM
  ibrav = 0, nat = 4, ntyp = 3
/
ATOMIC_SPECIES
Ni 58.69 Ni.upf
As 74.92 As.upf
Br 79.90 Br.upf
ATOMIC_POSITIONS crystal
Ni 0.0000 0.0000 0.2004
Ni 0.0000 0.0000 0.7996
As 0.5000 0.5000 0.0000
Br 0.5000 0.5000 0.5000
CELL_PARAMETERS angstrom
1.8952 -2.7905 0.0000
1.8952 2.7905 0.0000
0.0000 0.0000 6.4752
! Symmetry = Cmmm
! Formation energy without anion corrections = 0.19 eV per atom
! Energy above the most stable polymorph in this dataset = 293 meV/atom

No. 4
! KMo2Cl | the Alexandria database | GGA-PBE | relaxed; values from VASP
&SYSTEM
  ibrav = 0, nat = 4, ntyp = 3
/
ATOMIC_SPECIES
K 39.10 K.upf
Mo 95.94 Mo.upf
Cl 35.45 Cl.upf
ATOMIC_POSITIONS crystal
K 0.0000 0.0000 0.0000
Mo 0.2500 0.7500 0.5000
Mo 0.7500 0.2500 0.5000
Cl 0.5000 0.5000 0.0000
CELL_PARAMETERS angstrom
-1.8591 1.8591 8.2235
1.8591 -1.8591 8.2235
1.8591 1.8591 -8.2235
! Symmetry = I4/mmm
! Formation energy without anion corrections = 0.75 eV per atom
! Energy above the most stable polymorph in this dataset = 670 meV/atom

No. 5
! ThPd2RhAu | the Alexandria database | GGA-PBE | relaxed; values from VASP
&SYSTEM
  ibrav = 0, nat = 10, ntyp = 4
/
ATOMIC_SPECIES
Th 232.04 Th.upf
Pd 106.42 Pd.upf
Rh 102.91 Rh.upf
Au 196.97 Au.upf
ATOMIC_POSITIONS crystal
Th 0.1759 0.2500 0.2130
Th 0.8241 0.7500 0.7870
Pd 0.1702 0.7500 0.5353
Pd 0.4759 0.2500 0.6312
Pd 0.5241 0.7500 0.3688
Pd 0.8298 0.2500 0.4647
Rh 0.1300 0.2500 0.7975
Rh 0.8700 0.7500 0.2025
Au 0.3740 0.7500 0.9355
Au 0.6260 0.2500 0.0645
CELL_PARAMETERS angstrom
6.5906 0.0000 0.0000
0.0000 4.3230 0.0000
-1.3845 0.0000 6.6352
! Symmetry = P2_1/m
! Energy relative to the elements = -0.62 eV per atom

No. 6
! RbMg3Hg | the Alexandria database | GGA-PBE | relaxed; values from VASP
&SYSTEM
  ibrav = 0, nat = 5, ntyp = 3
/
ATOMIC_SPECIES
Rb 85.47 Rb.upf
Mg 24.30 Mg.upf
Hg 200.59 Hg.upf
ATOMIC_POSITIONS crystal
Rb 0.0000 0.0000 0.0000
Mg 0.0000 0.0000 0.5000
Mg 0.0000 0.5000 0.0000
Mg 0.5000 0.0000 0.0000
Hg 0.5000 0.5000 0.5000
CELL_PARAMETERS angstrom
7.4150 0.0000 0.0000
0.0000 7.4150 0.0000
0.0000 0.0000 7.4150
! Symmetry = Pm-3m
! Energy relative to the elements = 0.84 eV per atom
! Energy above the most stable polymorph in this dataset = 763 meV/atom

No. 7
! Na5Bi2Pb | the Alexandria database | GGA-PBE | relaxed; values from VASP
&SYSTEM
  ibrav = 0, nat = 16, ntyp = 3
/
ATOMIC_SPECIES
Na 22.99 Na.upf
Bi 208.98 Bi.upf
Pb 207.20 Pb.upf
ATOMIC_POSITIONS crystal
Na 0.0000 0.0000 0.1502
Na 0.0000 0.0000 0.3498
Na 0.0000 0.0000 0.6502
Na 0.0000 0.0000 0.8498
Na 0.3333 0.6667 0.0548
Na 0.3333 0.6667 0.2500
Na 0.3333 0.6667 0.4452
Na 0.6667 0.3333 0.5548
Na 0.6667 0.3333 0.7500
Na 0.6667 0.3333 0.9452
Bi 0.3333 0.6667 0.6012
Bi 0.3333 0.6667 0.8988
Bi 0.6667 0.3333 0.1012
Bi 0.6667 0.3333 0.3988
Pb 0.3333 0.6667 0.7500
Pb 0.6667 0.3333 0.2500
CELL_PARAMETERS angstrom
5.4422 0.0000 0.0000
-2.7211 4.7131 0.0000
0.0000 0.0000 20.9642
! Symmetry = P6_3/mmc
! Energy relative to the elements = -0.20 eV per atom

No. 8
! SrGaAsRh2 | the Alexandria database | GGA-PBE | relaxed; values from VASP
&SYSTEM
  ibrav = 0, nat = 5, ntyp = 4
/
ATOMIC_SPECIES
Sr 87.62 Sr.upf
Ga 69.72 Ga.upf
As 74.92 As.upf
Rh 102.91 Rh.upf
ATOMIC_POSITIONS crystal
Sr 0.0000 0.0000 0.0000
Ga 0.0000 0.0000 0.5000
As 0.5000 0.5000 0.5000
Rh 0.0000 0.5000 0.0000
Rh 0.5000 0.0000 0.0000
CELL_PARAMETERS angstrom
4.9726 0.0000 0.0000
0.0000 4.9726 0.0000
0.0000 0.0000 5.3957
! Symmetry = P4/mmm
! Energy relative to the elements = 1.55 eV per atom

No. 9
! Mg5Si6 | the Alexandria database | GGA-PBE | relaxed; values from VASP
&SYSTEM
  ibrav = 0, nat = 22, ntyp = 2
/
ATOMIC_SPECIES
Mg 24.30 Mg.upf
Si 28.09 Si.upf
ATOMIC_POSITIONS crystal
Mg 0.0000 0.0000 0.0000
Mg 0.0081 0.5036 0.1051
Mg 0.2400 0.7185 0.5679
Mg 0.2582 0.5694 0.8791
Mg 0.4110 0.2310 0.6172
Mg 0.4813 0.2554 0.3772
Mg 0.5042 0.7518 0.0487
Mg 0.5453 0.7614 0.3470
Mg 0.5633 0.0645 0.8437
Mg 0.8857 0.4546 0.4762
Si 0.0107 0.0645 0.4013
Si 0.0454 0.2497 0.7984
Si 0.0788 0.9438 0.2352
Si 0.1115 0.5904 0.2966
Si 0.1450 0.8831 0.7558
Si 0.4423 0.1855 0.0387
Si 0.4931 0.4218 0.1841
Si 0.5874 0.0443 0.1905
Si 0.7076 0.8909 0.5185
Si 0.7122 0.8008 0.6909
Si 0.7478 0.3984 0.9431
Si 0.8365 0.4325 0.6696
CELL_PARAMETERS angstrom
4.8337 0.0000 0.0000
1.0541 6.4271 0.0000
2.2870 0.1336 13.9194
! Symmetry = P1
! Formation energy without anion corrections = 0.13 eV per atom
! Energy above the most stable polymorph in this dataset = 100 meV/atom

No. 10
! Cr2CoNi | the Alexandria database | GGA-PBE | relaxed; values from VASP
&SYSTEM
  ibrav = 0, nat = 4, ntyp = 3
/
ATOMIC_SPECIES
Cr 52.00 Cr.upf
Co 58.93 Co.upf
Ni 58.69 Ni.upf
ATOMIC_POSITIONS crystal
Cr 0.0000 0.0000 0.0000
Cr 0.7500 0.2500 0.5000
Co 0.2500 0.7500 0.5000
Ni 0.5000 0.5000 0.0000
CELL_PARAMETERS angstrom
-1.8012 1.8012 3.4635
1.8012 -1.8012 3.4635
1.8012 1.8012 -3.4635
! Symmetry = I-4m2
! Energy relative to the elements = 0.11 eV per atom
! Energy above the most stable polymorph in this dataset = 81 meV/atom

No. 11
! Th5Tc2Se2 | the Alexandria database | GGA-PBE | relaxed; values from VASP
&SYSTEM
  ibrav = 0, nat = 18, ntyp = 3
/
ATOMIC_SPECIES
Th 232.04 Th.upf
Tc 98.00 Tc.upf
Se 78.96 Se.upf
ATOMIC_POSITIONS crystal
Th 0.0000 0.0000 0.0000
Th 0.0332 0.7198 0.6621
Th 0.2198 0.5332 0.1621
Th 0.2802 0.9668 0.6621
Th 0.4668 0.7802 0.1621
Th 0.5000 0.5000 0.5000
Th 0.5332 0.2198 0.8379
Th 0.7198 0.0332 0.3379
Th 0.7802 0.4668 0.8379
Th 0.9668 0.2802 0.3379
Tc 0.1501 0.8499 0.3682
Tc 0.3499 0.6501 0.8682
Tc 0.6501 0.3499 0.1318
Tc 0.8499 0.1501 0.6318
Se 0.2015 0.2015 0.0000
Se 0.2985 0.2985 0.5000
Se 0.7015 0.7015 0.5000
Se 0.7985 0.7985 0.0000
CELL_PARAMETERS angstrom
7.6406 -3.8880 0.0000
7.6406 3.8880 0.0000
0.0000 0.0000 8.0494
! Symmetry = Cmce
! Formation energy without anion corrections = -0.72 eV per atom

No. 12
! Mg3Cd2 | the Alexandria database | GGA-PBE | relaxed; values from VASP
&SYSTEM
  ibrav = 0, nat = 5, ntyp = 2
/
ATOMIC_SPECIES
Mg 24.30 Mg.upf
Cd 112.41 Cd.upf
ATOMIC_POSITIONS crystal
Mg 0.0000 0.0000 0.0000
Mg 0.1999 0.1999 0.1999
Mg 0.8001 0.8001 0.8001
Cd 0.3999 0.3999 0.3999
Cd 0.6001 0.6001 0.6001
CELL_PARAMETERS angstrom
1.5603 0.9008 13.3835
-1.5603 0.9008 13.3835
0.0000 -1.8017 13.3835
! Symmetry = R-3m
! Energy relative to the elements = 0.00 eV per atom
! Energy above the most stable polymorph in this dataset = 76 meV/atom

No. 13
! CeHfZn | the Alexandria database | GGA-PBE | relaxed; values from VASP
&SYSTEM
  ibrav = 0, nat = 3, ntyp = 3
/
ATOMIC_SPECIES
Ce 140.12 Ce.upf
Hf 178.49 Hf.upf
Zn 65.41 Zn.upf
ATOMIC_POSITIONS crystal
Ce 0.0000 0.0000 0.0000
Hf 0.3333 0.6667 0.0000
Zn 0.6667 0.3333 0.5000
CELL_PARAMETERS angstrom
5.0142 0.0000 0.0000
-2.5071 4.3424 0.0000
0.0000 0.0000 2.8797
! Symmetry = P-6m2
! Energy relative to the elements = 0.23 eV per atom
! Energy above the most stable polymorph in this dataset = 334 meV/atom

No. 14
! CsAsF4 | the Alexandria database | GGA-PBE | relaxed; values from VASP
&SYSTEM
  ibrav = 0, nat = 12, ntyp = 3
/
ATOMIC_SPECIES
Cs 132.91 Cs.upf
As 74.92 As.upf
F 19.00 F.upf
ATOMIC_POSITIONS crystal
Cs 0.1311 0.8689 0.7500
Cs 0.8689 0.1311 0.2500
As 0.4059 0.5941 0.7500
As 0.5941 0.4059 0.2500
F 0.0961 0.9039 0.2500
F 0.3208 0.6792 0.5642
F 0.3208 0.6792 0.9358
F 0.5000 0.5000 0.0000
F 0.5000 0.5000 0.5000
F 0.6792 0.3208 0.0642
F 0.6792 0.3208 0.4358
F 0.9039 0.0961 0.7500
CELL_PARAMETERS angstrom
2.1402 -7.8258 0.0000
2.1402 7.8258 0.0000
0.0000 0.0000 7.0027
! Symmetry = Cmcm
! Formation energy without anion corrections = -2.38 eV per atom
! Energy above the most stable polymorph in this dataset = 68 meV/atom

No. 15
! CsKTaSe4 | the Alexandria database | GGA-PBE | relaxed; values from VASP
&SYSTEM
  ibrav = 0, nat = 14, ntyp = 4
/
ATOMIC_SPECIES
Cs 132.91 Cs.upf
K 39.10 K.upf
Ta 180.95 Ta.upf
Se 78.96 Se.upf
ATOMIC_POSITIONS crystal
Cs 0.2315 0.2500 0.4614
Cs 0.7685 0.7500 0.5386
K 0.2673 0.2500 0.9471
K 0.7327 0.7500 0.0529
Ta 0.2758 0.7500 0.1922
Ta 0.7242 0.2500 0.8078
Se 0.0662 0.7500 0.3184
Se 0.1424 0.7500 0.9751
Se 0.4964 0.0225 0.2493
Se 0.4964 0.4775 0.2493
Se 0.5036 0.5225 0.7507
Se 0.5036 0.9775 0.7507
Se 0.8576 0.2500 0.0249
Se 0.9338 0.2500 0.6816
CELL_PARAMETERS angstrom
7.8653 0.0000 0.0000
0.0000 6.4642 0.0000
-2.6805 0.0000 10.7212
! Symmetry = P2_1/m
! Formation energy without anion corrections = -0.94 eV per atom

No. 16
! LaTbIn | the Alexandria database | GGA-PBE | relaxed; values from VASP
&SYSTEM
  ibrav = 0, nat = 3, ntyp = 3
/
ATOMIC_SPECIES
La 138.91 La.upf
Tb 158.93 Tb.upf
In 114.82 In.upf
ATOMIC_POSITIONS crystal
La 0.0000 0.0000 0.0000
Tb 0.3053 0.3053 0.0000
In 0.6630 0.6630 0.0000
CELL_PARAMETERS angstrom
-1.8224 1.8224 7.0662
1.8224 -1.8224 7.0662
1.8224 1.8224 -7.0662
! Symmetry = I4mm
! Energy relative to the elements = -0.29 eV per atom
! Energy above the most stable polymorph in this dataset = 54 meV/atom

No. 17
! TaTePb2 | the Alexandria database | GGA-PBE | relaxed; values from VASP
&SYSTEM
  ibrav = 0, nat = 4, ntyp = 3
/
ATOMIC_SPECIES
Ta 180.95 Ta.upf
Te 127.60 Te.upf
Pb 207.20 Pb.upf
ATOMIC_POSITIONS crystal
Ta 0.0000 0.0000 0.0000
Te 0.5000 0.5000 0.5000
Pb 0.2624 0.2624 0.2624
Pb 0.7376 0.7376 0.7376
CELL_PARAMETERS angstrom
1.5945 0.9206 12.4995
-1.5945 0.9206 12.4995
0.0000 -1.8411 12.4995
! Symmetry = R-3m
! Formation energy without anion corrections = 0.41 eV per atom

No. 18
! ZnAsCl2 | the Alexandria database | GGA-PBE | relaxed; values from VASP
&SYSTEM
  ibrav = 0, nat = 4, ntyp = 3
/
ATOMIC_SPECIES
Zn 65.41 Zn.upf
As 74.92 As.upf
Cl 35.45 Cl.upf
ATOMIC_POSITIONS crystal
Zn 0.0000 0.0000 0.0000
As 0.0000 0.0000 0.5000
Cl 0.5000 0.5000 0.1318
Cl 0.5000 0.5000 0.8682
CELL_PARAMETERS angstrom
3.0410 0.0000 0.0000
0.0000 3.0410 0.0000
0.0000 0.0000 11.5853
! Symmetry = P4/mmm
! Formation energy without anion corrections = -0.06 eV per atom
! Energy above the most stable polymorph in this dataset = 365 meV/atom

No. 19
! Y2Ni3B6 | the Alexandria database | GGA-PBE | relaxed; values from VASP
&SYSTEM
  ibrav = 0, nat = 11, ntyp = 3
/
ATOMIC_SPECIES
Y 88.91 Y.upf
Ni 58.69 Ni.upf
B 10.81 B.upf
ATOMIC_POSITIONS crystal
Y 0.2246 0.7754 0.0000
Y 0.7754 0.2246 0.0000
Ni 0.2723 0.2723 0.0000
Ni 0.5000 0.5000 0.5000
Ni 0.7277 0.7277 0.0000
B 0.1131 0.1131 0.5000
B 0.1142 0.4144 0.5000
B 0.4144 0.1142 0.5000
B 0.5856 0.8858 0.5000
B 0.8858 0.5856 0.5000
B 0.8869 0.8869 0.5000
CELL_PARAMETERS angstrom
3.8689 -4.3319 0.0000
3.8689 4.3319 0.0000
0.0000 0.0000 3.4843
! Symmetry = Cmmm
! Energy relative to the elements = -0.56 eV per atom

No. 20
! Be2Pt | the Alexandria database | GGA-PBE | relaxed; values from VASP
&SYSTEM
  ibrav = 0, nat = 3, ntyp = 2
/
ATOMIC_SPECIES
Be 9.01 Be.upf
Pt 195.08 Pt.upf
ATOMIC_POSITIONS crystal
Be 0.1700 0.1700 0.0000
Be 0.8300 0.8300 0.0000
Pt 0.5000 0.5000 0.0000
CELL_PARAMETERS angstrom
-1.3631 1.5656 3.7485
1.3631 -1.5656 3.7485
1.3631 1.5656 -3.7485
! Symmetry = Immm
! Energy relative to the elements = -0.54 eV per atom
! Energy above the most stable polymorph in this dataset = 103 meV/atom